No. 1
Computed, not measured: a relaxed NiMo2Ru crystal at the GGA-PBE level of DFT.

Cell lengths 4.728, 4.728, 4.573 Å; angles 100.91, 100.91, 34.79 degrees
Positions (direct):
Ni 0.000 0.000 0.000
Mo 0.253 0.253 0.755
Mo 0.747 0.747 0.245
Ru 0.500 0.500 0.500

Values from the calculation:
The energy of formation from the pure elements is 0.15 eV per atom. As for the calculated volume: 14.29 Å³/atom. The value obtained for the total energy is -0.332 Ha/atom. Its space-group type is C2/m (12).



No. 2
Computed, not measured: a relaxed RbIN2O crystal at the GGA-PBE level of DFT.

Cell lengths 5.431, 5.431, 4.188 Å; angles 90.00, 90.00, 90.00 degrees
Positions (direct):
Rb 0.000 0.000 0.000
I 0.500 0.500 0.000
N 0.000 0.500 0.500
N 0.500 0.000 0.500
O 0.500 0.500 0.500

Values from the calculation:
As for the calculated volume: 24.70 Å³/atom. The value obtained for the total energy is -0.118 Ha/atom. Its space-group type is P4/mmm (123).



No. 3
Computed, not measured: a relaxed CaIn2P crystal at the GGA-PBE level of DFT.

Cell lengths 8.371, 8.371, 8.371 Å; angles 27.28, 27.28, 27.28 degrees
Positions (direct):
Ca 0.000 0.000 0.000
In 0.541 0.541 0.541
In 0.777 0.777 0.777
P 0.266 0.266 0.266

Values from the calculation:
The energy of formation from the pure elements is -0.36 eV per atom. As for the calculated volume: 27.18 Å³/atom. The value obtained for the total energy is -0.132 Ha/atom. Its space-group type is R3m (160).